# TlBiMo2 (PBEsol, optimized geometry)
data_TlBiMo2
_chemical_formula_sum 'Tl4 Bi4 Mo8'
_symmetry_space_group_name_H-M 'F m -3 m'
_symmetry_Int_Tables_number 225
_symmetry_space_group_name_Hall '-F 4 2 3'
_cell_length_a 6.7019
_cell_length_b 6.7019
_cell_length_c 6.7019
_cell_angle_alpha 90.00
_cell_angle_beta 90.00
_cell_angle_gamma 90.00
loop_
_atom_site_label
_atom_site_type_symbol
_atom_site_fract_x
_atom_site_fract_y
_atom_site_fract_z
_atom_site_occupancy
Tl1 Tl 0.0000 0.0000 0.0000 1
Bi1 Bi 0.0000 0.0000 0.5000 1
Mo1 Mo 0.2500 0.2500 0.2500 1
# - formation enthalpy at 0 K (eV/atom) = 0.830
# - DOS at the Fermi energy (states/eV per atom) = 1.371
# - magnetic moment (Bohr magnetons per cell) = 0.030

---

# Tl2ZnBiMo (PBEsol, optimized geometry)
data_Tl2ZnBiMo
_chemical_formula_sum 'Tl2 Zn1 Bi1 Mo1'
_symmetry_space_group_name_H-M 'P 4/m m m'
_symmetry_Int_Tables_number 123
_symmetry_space_group_name_Hall '-P 4 2'
_cell_length_a 5.9173
_cell_length_b 5.9173
_cell_length_c 5.2056
_cell_angle_alpha 90.00
_cell_angle_beta 90.00
_cell_angle_gamma 90.00
loop_
_atom_site_label
_atom_site_type_symbol
_atom_site_fract_x
_atom_site_fract_y
_atom_site_fract_z
_atom_site_occupancy
Tl1 Tl 0.0000 0.5000 0.0000 1
Zn1 Zn 0.0000 0.0000 0.5000 1
Bi1 Bi 0.0000 0.0000 0.0000 1
Mo1 Mo 0.5000 0.5000 0.5000 1
# - formation enthalpy at 0 K (eV/atom) = 1.563
# - DOS at the Fermi energy (states/eV per atom) = 0.579
# - magnetic moment (Bohr magnetons per cell) = 4.818

---

# NaBiNO2 (PBEsol, optimized geometry)
data_NaBiNO2
_chemical_formula_sum 'Na1 Bi1 N1 O2'
_symmetry_space_group_name_H-M 'P 4/m m m'
_symmetry_Int_Tables_number 123
_symmetry_space_group_name_Hall '-P 4 2'
_cell_length_a 4.0492
_cell_length_b 4.0492
_cell_length_c 4.0249
_cell_angle_alpha 90.00
_cell_angle_beta 90.00
_cell_angle_gamma 90.00
loop_
_atom_site_label
_atom_site_type_symbol
_atom_site_fract_x
_atom_site_fract_y
_atom_site_fract_z
_atom_site_occupancy
Na1 Na 0.0000 0.0000 0.0000 1
Bi1 Bi 0.5000 0.5000 0.5000 1
N1 N 0.0000 0.0000 0.5000 1
O1 O 0.0000 0.5000 0.0000 1
# - formation energy without anion corrections (meV per atom) = 640.5
# - DOS at the Fermi energy (states/eV per atom) = 0.427
# - magnetic moment (Bohr magnetons per cell) = 3.000

---

# Na2TiBiN (PBEsol, optimized geometry)
data_Na2TiBiN
_chemical_formula_sum 'Na2 Ti1 Bi1 N1'
_symmetry_space_group_name_H-M 'P 4/m m m'
_symmetry_Int_Tables_number 123
_symmetry_space_group_name_Hall '-P 4 2'
_cell_length_a 4.9242
_cell_length_b 4.9242
_cell_length_c 3.9171
_cell_angle_alpha 90.00
_cell_angle_beta 90.00
_cell_angle_gamma 90.00
loop_
_atom_site_label
_atom_site_type_symbol
_atom_site_fract_x
_atom_site_fract_y
_atom_site_fract_z
_atom_site_occupancy
Na1 Na 0.0000 0.5000 0.0000 1
Ti1 Ti 0.0000 0.0000 0.5000 1
Bi1 Bi 0.5000 0.5000 0.5000 1
N1 N 0.0000 0.0000 0.0000 1
# - formation energy without anion corrections (meV per atom) = -308.5
# - DOS at the Fermi energy (states/eV per atom) = 0.582
# - magnetic moment (Bohr magnetons per cell) = 0.672